(1)
Density functional theory data (PBE) for a geometry-optimized CsTa3Pd4Se12 structure.

DFT total energy: -106.76 eV per cell
Calculated volume: 542.38 Å³ per cell
Uncorrected formation energy: -0.39 eV per atom
Total magnetization: 0.00 μB per formula unit

a = 9.112 Å, b = 9.112 Å, c = 9.112 Å
α = 111.18°, β = 111.18°, γ = 111.18°
Atoms (fractional coordinates):
1 Cs 0.000 0.000 0.000
2 Ta 0.555 0.445 0.000
3 Ta 0.445 0.000 0.555
4 Ta 0.000 0.555 0.445
5 Pd 0.946 0.054 0.500
6 Pd 0.054 0.500 0.946
7 Pd 0.500 0.946 0.054
8 Pd 0.500 0.500 0.500
9 Se 0.500 0.335 0.665
10 Se 0.893 0.500 0.107
11 Se 0.107 0.893 0.500
12 Se 0.500 0.107 0.893
13 Se 0.330 0.844 0.217
14 Se 0.217 0.330 0.844
15 Se 0.844 0.217 0.330
16 Se 0.670 0.783 0.156
17 Se 0.156 0.670 0.783
18 Se 0.783 0.156 0.670
19 Se 0.665 0.500 0.335
20 Se 0.335 0.665 0.500

---

(2)
Density functional theory data (PBE) for a geometry-optimized CsThPdSe3 structure.

DFT total energy: -63.40 eV per cell
Calculated volume: 379.43 Å³ per cell
Uncorrected formation energy: -1.30 eV per atom
Total magnetization: 0.00 μB per formula unit

a = 4.152 Å, b = 8.588 Å, c = 10.967 Å
α = 90.00°, β = 90.00°, γ = 103.99°
Atoms (fractional coordinates):
1 Cs 0.748 0.497 0.750
2 Cs 0.252 0.503 0.250
3 Th 0.000 0.000 0.500
4 Th 0.000 0.000 0.000
5 Pd 0.475 0.951 0.750
6 Pd 0.525 0.049 0.250
7 Se 0.619 0.237 0.441
8 Se 0.381 0.763 0.559
9 Se 0.381 0.763 0.941
10 Se 0.619 0.237 0.059
11 Se 0.066 0.132 0.750
12 Se 0.934 0.868 0.250